# PBE MgAl2H, optimized geometry
data_MgAl2H
_cell_length_a 4.991
_cell_length_b 4.991
_cell_length_c 6.667
_cell_angle_alpha 68.02
_cell_angle_beta 68.02
_cell_angle_gamma 90.00
_space_group_name_H-M_alt 'P 1'
_space_group_IT_number 1
_space_group_name_Hall 'P 1'
loop_
_atom_site_label
_atom_site_type_symbol
_atom_site_fract_x
_atom_site_fract_y
_atom_site_fract_z
H1 H 0.500 0.500 0.000
H2 H 0.250 0.750 0.500
Mg1 Mg 0.000 0.000 0.000
Mg2 Mg 0.750 0.250 0.500
Al1 Al 0.403 0.125 0.250
Al2 Al 0.347 0.625 0.250
Al3 Al 0.375 0.597 0.750
Al4 Al 0.875 0.653 0.750
# **V**: 140.9 Å³/cell
# **DOS(E_F)**: 2.44 states/eV/cell
# **Relative energy among the computed polymorphs**: 0.000 eV per atom